Entry from the Open Quantum Materials Database: crystalline ZnCoO3 at its relaxed geometry (PBE with a Hubbard U).

Cell lengths 5.080, 5.080, 5.080 Å; angles 59.51, 59.51, 59.51 degrees
Fractional positions:
Zn 0.250 0.250 0.250
Zn 0.750 0.750 0.750
Co 0.000 0.000 0.000
Co 0.500 0.500 0.500
O 0.132 0.750 0.368
O 0.250 0.632 0.868
O 0.368 0.132 0.750
O 0.632 0.868 0.250
O 0.750 0.368 0.132
O 0.868 0.250 0.632

Computed properties:
The size of the total moment is 2.00 μB per cell. Its space group is R-3c (167). As for the total energy: -5.0999 eV/atom.